## MgCo2Cl (PBE)

Data for MgCo2Cl after structural relaxation.

Lattice parameters (Å, degrees): 5.103 5.103 4.327 96.19 96.19 35.67
Each line ends with the local moment (μB).
Positions (direct):
Cl 0.250 0.250 0.250  0.00
Co 0.031 0.031 0.933  1.71
Co 0.469 0.469 0.567  1.71
Mg 0.750 0.750 0.750  -0.03

Results
- Raw formation energy: 65 kJ/mol of formula units
- Volume: 16.322 A^3/atom
- Excess energy over the best structure of this formula in the dataset: 238.6 meV/atom
- Total magnetization: 3.20 μB/cell
- Electronic total energy: -17.0 eV for the cell shown

---

## FeCoMo2 (PBE)

Data for FeCoMo2 after structural relaxation.

Lattice parameters (Å, degrees): 8.778 8.778 8.778 17.52 17.52 17.52
Each line ends with the local moment (μB).
Positions (direct):
Mo 0.001 0.001 0.001  -0.11
Mo 0.499 0.499 0.499  -0.11
Fe 0.750 0.750 0.750  0.66
Co 0.250 0.250 0.250  0.77

Results
- Volume: 13.383 A^3/atom
- Excess energy over the best structure of this formula in the dataset: 206.2 meV/atom
- Total magnetization: 1.17 μB/cell
- Formation enthalpy at 0 K: 0.294 eV/atom
- Electronic total energy: -36.1 eV for the cell shown

---

## NpInAgPd (PBE)

Data for NpInAgPd after structural relaxation.

Lattice parameters (Å, degrees): 4.931 4.931 4.931 60.00 60.00 60.00
Each line ends with the local moment (μB).
Positions (direct):
Np 0.250 0.250 0.250  3.82
Pd 0.500 0.500 0.500  -0.04
Ag 0.000 0.000 0.000  0.03
In 0.750 0.750 0.750  0.01

Results
- Volume: 21.189 A^3/atom
- Total magnetization: 4.08 μB/cell
- Formation enthalpy at 0 K: -0.030 eV/atom
- Electronic total energy: -23.8 eV for the cell shown

---

## MgGa2Si2 (PBE)

Data for MgGa2Si2 after structural relaxation.

Lattice parameters (Å, degrees): 4.291 4.291 6.000 69.05 69.05 90.00
Positions (direct):
Mg 0.000 0.000 0.000
Si 0.250 0.750 0.500
Si 0.750 0.250 0.500
Ga 0.382 0.382 0.235
Ga 0.618 0.618 0.765

Results
- Raw formation energy: 98 kJ/mol of formula units
- Volume: 19.060 A^3/atom
- Total magnetization: 0.00 μB/cell
- Electronic total energy: -17.5 eV for the cell shown

---

## TaIr2W (PBE)

Data for TaIr2W after structural relaxation.

Lattice parameters (Å, degrees): 4.837 4.837 4.837 131.31 131.29 71.34
Positions (direct):
W 0.250 0.750 0.500
Ta 0.750 0.250 0.500
Ir 0.500 0.500 0.000
Ir 0.000 0.000 0.000

Results
- Volume: 15.628 A^3/atom
- Excess energy over the best structure of this formula in the dataset: 20.7 meV/atom
- Total magnetization: 0.00 μB/cell
- Formation enthalpy at 0 K: -0.438 eV/atom
- Electronic total energy: -44.3 eV for the cell shown

---

## CsTmS2 (PBE)

Data for CsTmS2 after structural relaxation.

Lattice parameters (Å, degrees): 4.043 4.043 8.444 76.15 76.15 60.00
Positions (direct):
Cs 0.498 0.498 0.505
Tm 0.667 0.667 0.999
S 0.060 0.060 0.819
S 0.274 0.274 0.178

Results
- Raw formation energy: -699 kJ/mol of formula units
- Volume: 28.712 A^3/atom
- Excess energy over the best structure of this formula in the dataset: 16.7 meV/atom
- Total magnetization: 0.00 μB/cell
- Electronic total energy: -20.8 eV for the cell shown

---

## Pr3Ho4Tl (PBE)

Data for Pr3Ho4Tl after structural relaxation.

Lattice parameters (Å, degrees): 3.644 3.644 19.309 90.00 90.00 90.00
Positions (direct):
Pr 0.500 0.500 0.500
Pr 0.500 0.500 0.763
Pr 0.500 0.500 0.237
Ho 0.000 0.000 0.630
Ho 0.000 0.000 0.894
Ho 0.000 0.000 0.106
Ho 0.000 0.000 0.370
Tl 0.500 0.500 0.000

Results
- Volume: 32.057 A^3/atom
- Excess energy over the best structure of this formula in the dataset: 0.0 meV/atom
- Total magnetization: 0.00 μB/cell
- Formation enthalpy at 0 K: -0.079 eV/atom
- Electronic total energy: -35.6 eV for the cell shown

---

## AgOs3 (PBE)

Data for AgOs3 after structural relaxation.

Lattice parameters (Å, degrees): 7.882 3.899 9.994 90.00 168.68 90.00
Positions (direct):
Os 0.693 0.500 0.963
Os 0.500 0.000 0.000
Os 0.307 0.500 0.037
Ag 0.000 0.000 0.000

Results
- Volume: 15.073 A^3/atom
- Excess energy over the best structure of this formula in the dataset: 313.7 meV/atom
- Total magnetization: 0.00 μB/cell
- Formation enthalpy at 0 K: 0.585 eV/atom
- Electronic total energy: -34.2 eV for the cell shown

---

What is the formula in the eighth record? AgOs3